# 1
Here is BeAl7 at its PBEsol-relaxed geometry from Alexandria. Energies are from meta-GGA SCAN.

Calculated formation energy (eV/atom): 0.070

Cell: 7.8832 7.8832 7.8832 Å, 90.00 90.00 90.00°
Closest atoms and distances in Å follow each position.
Space group Fm-3m (No. 225)
One atom of each set of equivalent atoms:
Be 0.0000 0.0000 0.0000 x4  12 Al 2.79
Al 0.0000 0.0000 0.5000 x4  12 Al 2.79
Al 0.0000 0.2500 0.2500 x24  10 Al 2.79, 2 Be 2.79

# 2
Here is BeAl at its PBEsol-relaxed geometry from Alexandria. Energies are from meta-GGA SCAN.

Calculated formation energy (eV/atom): 0.274

Cell: 2.6771 2.6771 8.0920 Å, 90.00 90.00 120.00°
Closest atoms and distances in Å follow each position.
Space group P-3m1 (No. 164)
One atom of each set of equivalent atoms:
Be 0.3333 0.6667 0.1006 x2  3 Be 2.25
Al 0.3333 0.6667 0.6505 x2  3 Be 2.54, 6 Al 2.68

# 3
Here is Be2Al at its PBEsol-relaxed geometry from Alexandria. Energies are from meta-GGA SCAN.

Calculated formation energy (eV/atom): 0.080

Cell: 4.4500 4.4500 14.4924 Å, 90.00 90.00 120.00°
Closest atoms and distances in Å follow each position.
Space group P6_3/mmc (No. 194)
One atom of each set of equivalent atoms:
Be 0.0000 0.5000 0.0000 x6  6 Be 2.21-2.23
Be 0.1667 0.3334 0.2500 x6  6 Be 2.22-2.23
Be 0.3333 0.6667 0.1240 x4  6 Be 2.21-2.23
Al 0.0000 0.0000 0.0937 x4  12 Be 2.60-2.61, 4 Al 2.71-2.72
Al 0.3333 0.6667 0.6563 x4  12 Be 2.60-2.61, 4 Al 2.72

# 4
Here is BeAl at its PBEsol-relaxed geometry from Alexandria. Energies are from meta-GGA SCAN.

Calculated formation energy (eV/atom): 0.261

Cell: 3.6541 3.6541 7.5261 Å, 90.00 90.00 90.00°
Closest atoms and distances in Å follow each position.
Space group I4_1/amd (No. 141, origin choice 2)
One atom of each set of equivalent atoms:
Be 0.0000 0.2500 0.3750 x4  8 Al 2.58-2.62, 4 Be 2.62
Al 0.0000 0.2500 0.8750 x4  8 Be 2.58-2.62, 4 Al 2.62

# 5
Here is BeAl5 at its PBEsol-relaxed geometry from Alexandria. Energies are from meta-GGA SCAN.

Calculated formation energy (eV/atom): 0.081

Cell: 2.7768 2.7768 11.5706 Å, 90.00 90.00 90.00°
Closest atoms and distances in Å follow each position.
Space group P4/mmm (No. 123)
One atom of each set of equivalent atoms:
Be 0.0000 0.0000 0.0000 x1  8 Al 2.55, 4 Be 2.78
Al 0.0000 0.0000 0.3221 x2  12 Al 2.78-2.87
Al 0.5000 0.5000 0.1412 x2  4 Be 2.55, 4 Al 2.78
Al 0.5000 0.5000 0.5000 x1  12 Al 2.78-2.84

# 6
Here is BeAl3 at its PBEsol-relaxed geometry from Alexandria. Energies are from meta-GGA SCAN.

Calculated formation energy (eV/atom): 0.284

Cell: 8.6417 8.6417 2.7180 Å, 90.00 90.00 120.00°
Closest atoms and distances in Å follow each position.
Space group R-3m (No. 166, hexagonal axes)
One atom of each set of equivalent atoms:
Be 0.0000 0.0000 0.0000 x3  6 Al 2.65, 2 Be 2.72
Al 0.0000 0.5000 0.0000 x9  2 Be 2.65, 6 Al 2.65-2.72

# 7
Here is Be5Al at its PBEsol-relaxed geometry from Alexandria. Energies are from meta-GGA SCAN.

Calculated formation energy (eV/atom): 0.253

Cell: 2.5390 2.5390 8.8442 Å, 90.00 90.00 90.00°
Closest atoms and distances in Å follow each position.
Space group P4/mmm (No. 123)
One atom of each set of equivalent atoms:
Be 0.0000 0.0000 0.0000 x1  8 Be 2.18
Be 0.0000 0.0000 0.2854 x2  4 Be 2.21
Be 0.5000 0.5000 0.1399 x2  8 Be 2.18-2.21
Al 0.5000 0.5000 0.5000 x1  4 Al 2.54, 8 Be 2.61

# 8
Here is BeAlBi2Sb at its PBEsol-relaxed geometry from Alexandria. Energies are from meta-GGA SCAN.

E_form (uncorrected) (meV per atom): 900

Cell: 5.9279 5.9279 4.3236 Å, 90.00 90.00 90.00°
Closest atoms and distances in Å follow each position.
Space group P4/mmm (No. 123)
One atom of each set of equivalent atoms:
Be 0.0000 0.0000 0.0000 x1  2 Sb 2.16
Al 0.5000 0.5000 0.0000 x1  8 Bi 3.67
Bi 0.0000 0.5000 0.5000 x2  2 Sb 2.96
Sb 0.0000 0.0000 0.5000 x1  2 Be 2.16